This record from Alexandria describes Ca2HgGePd6 after structural relaxation. The functional is PBE.

Calculated values
Its density of states at the Fermi level is 4.78 states/eV/f.u. The value obtained for the formation energy is -164 meV per atom.

a = 9.7689 Å, b = 9.7689 Å, c = 9.7689 Å
α = 90.00°, β = 90.00°, γ = 90.00°
Space group Fm-3m (No. 225)
Symmetry-distinct sites (fractional):
Ca: 0.2500 0.2500 0.2500 (multiplicity 8)
Hg: 0.0000 0.0000 0.0000 (multiplicity 4)
Ge: 0.0000 0.0000 0.5000 (multiplicity 4)
Pd: 0.0000 0.0000 0.2639 (multiplicity 24)

This record from Alexandria describes Pa2HS after structural relaxation. The functional is PBE.

Calculated values
As for the raw total energy: -7.37 eV per atom. Its density of states at the Fermi level is 4.77 states/eV/f.u.

a = 3.4644 Å, b = 3.4644 Å, c = 20.5897 Å
α = 90.00°, β = 90.00°, γ = 120.00°
Space group R-3m (No. 166, hexagonal axes)
Symmetry-distinct sites (fractional):
Pa: 0.0000 0.0000 0.2405 (multiplicity 6)
H: 0.0000 0.0000 0.5000 (multiplicity 3)
S: 0.0000 0.0000 0.0000 (multiplicity 3)

This record from Alexandria describes CdAgTe after structural relaxation. The functional is PBE.

Calculated values
The calculation puts the energy above the most stable polymorph in this dataset at 0.61 eV per formula unit. Its density of states at the Fermi level is 1.01 states/eV/f.u. As for the uncorrected formation energy: 130.6 meV/atom.

a = 4.4046 Å, b = 4.9052 Å, c = 13.3150 Å
α = 90.00°, β = 90.00°, γ = 90.00°
Space group Fmm2 (No. 42)
Symmetry-distinct sites (fractional):
Cd: 0.0000 0.0000 0.0000 (multiplicity 4)
Ag: 0.0000 0.0000 0.6407 (multiplicity 4)
Te: 0.0000 0.0000 0.3086 (multiplicity 4)

This record from Alexandria describes K2CdP2S6 after structural relaxation. The functional is PBE.

Calculated values
As for the uncorrected formation energy: -635.5 meV/atom.

a = 12.3674 Å, b = 6.7190 Å, c = 7.4246 Å
α = 90.00°, β = 113.87°, γ = 90.00°
Space group C2/m (No. 12)
Symmetry-distinct sites (fractional):
K: 0.2099 0.0000 0.2082 (multiplicity 4)
Cd: 0.0000 0.0000 0.5000 (multiplicity 2)
P: 0.0246 0.5000 0.1706 (multiplicity 4)
S: 0.0625 0.2482 0.8034 (multiplicity 8)
S: 0.2001 0.5000 0.3133 (multiplicity 4)

This record from Alexandria describes Dy5In2AgIr2 after structural relaxation. The functional is PBE.

Calculated values
Its density of states at the Fermi level is 4.75 states/eV/f.u. The value obtained for the formation energy is -565 meV per atom.

a = 11.7381 Å, b = 11.7381 Å, c = 3.6699 Å
α = 90.00°, β = 90.00°, γ = 90.00°
Space group P4/mbm (No. 127)
Symmetry-distinct sites (fractional):
Dy: 0.0000 0.5000 0.0000 (multiplicity 2)
Dy: 0.0741 0.2039 0.0000 (multiplicity 8)
In: 0.1753 0.6753 0.5000 (multiplicity 4)
Ag: 0.0000 0.0000 0.5000 (multiplicity 2)
Ir: 0.1330 0.3670 0.5000 (multiplicity 4)

This record from Alexandria describes ZrSnRh2 after structural relaxation. The functional is PBE.

Calculated values
Its density of states at the Fermi level is 2.94 states/eV/f.u. The value obtained for the formation energy is -663 meV per atom.

a = 4.3393 Å, b = 4.3393 Å, c = 3.7227 Å
α = 90.00°, β = 90.00°, γ = 90.00°
Space group P4/mmm (No. 123)
Symmetry-distinct sites (fractional):
Zr: 0.0000 0.0000 0.0000 (multiplicity 1)
Sn: 0.5000 0.5000 0.0000 (multiplicity 1)
Rh: 0.0000 0.5000 0.5000 (multiplicity 2)

This record from Alexandria describes Al3PbSe after structural relaxation. The functional is PBE.

Calculated values
The calculation puts the energy above the most stable polymorph in this dataset at 0.00 eV per formula unit. Its density of states at the Fermi level is 2.25 states/eV/f.u. As for the uncorrected formation energy: 466.3 meV/atom.

a = 5.0326 Å, b = 5.0326 Å, c = 5.0326 Å
α = 90.00°, β = 90.00°, γ = 90.00°
Space group Pm-3m (No. 221)
Symmetry-distinct sites (fractional):
Al: 0.0000 0.0000 0.5000 (multiplicity 3)
Pb: 0.5000 0.5000 0.5000 (multiplicity 1)
Se: 0.0000 0.0000 0.0000 (multiplicity 1)

This record from Alexandria describes TcAg2HgAs after structural relaxation. The functional is PBE.

Calculated values
Its density of states at the Fermi level is 2.75 states/eV/f.u. The value obtained for the formation energy is 1429 meV per atom.

a = 5.1197 Å, b = 5.1197 Å, c = 5.1593 Å
α = 90.00°, β = 90.00°, γ = 90.00°
Space group P4/mmm (No. 123)
Symmetry-distinct sites (fractional):
Tc: 0.0000 0.0000 0.0000 (multiplicity 1)
Ag: 0.0000 0.5000 0.5000 (multiplicity 2)
Hg: 0.5000 0.5000 0.5000 (multiplicity 1)
As: 0.5000 0.5000 0.0000 (multiplicity 1)

This record from Alexandria describes Tm6Cu2Ir after structural relaxation. The functional is PBE.

Calculated values
Its density of states at the Fermi level is 6.98 states/eV/f.u. The value obtained for the formation energy is -364 meV per atom.

a = 9.3483 Å, b = 9.3880 Å, c = 9.5126 Å
α = 90.00°, β = 90.00°, γ = 90.00°
Space group Immm (No. 71)
Symmetry-distinct sites (fractional):
Tm: 0.0000 0.1757 0.2433 (multiplicity 8)
Tm: 0.1720 0.5000 0.2908 (multiplicity 8)
Tm: 0.2415 0.3142 0.0000 (multiplicity 8)
Cu: 0.0000 0.3560 0.5000 (multiplicity 4)
Cu: 0.1236 0.0000 0.0000 (multiplicity 4)
Ir: 0.0000 0.0000 0.5000 (multiplicity 2)
Ir: 0.0000 0.5000 0.0000 (multiplicity 2)

This record from Alexandria describes Zn2OsSe after structural relaxation. The functional is PBE.

Calculated values
Its density of states at the Fermi level is 2.26 states/eV/f.u. As for the uncorrected formation energy: 399.9 meV/atom.

a = 2.8271 Å, b = 4.9735 Å, c = 9.8457 Å
α = 90.00°, β = 90.00°, γ = 90.00°
Space group Cmm2 (No. 35)
Symmetry-distinct sites (fractional):
Zn: 0.0000 0.0000 0.0000 (multiplicity 2)
Zn: 0.0000 0.5000 0.2335 (multiplicity 2)
Os: 0.0000 0.5000 0.7735 (multiplicity 2)
Se: 0.0000 0.0000 0.5646 (multiplicity 2)

This record from Alexandria describes K3YGa2O6 after structural relaxation. The functional is PBE.

Calculated values
Its density of states at the Fermi level is 0.00 states/eV/f.u. As for the uncorrected formation energy: -1992.1 meV/atom.

a = 6.1357 Å, b = 6.1357 Å, c = 7.1405 Å
α = 90.00°, β = 90.00°, γ = 120.00°
Space group P-3m1 (No. 164)
Symmetry-distinct sites (fractional):
K: 0.0000 0.0000 0.0000 (multiplicity 1)
K: 0.3333 0.6667 0.7495 (multiplicity 2)
Y: 0.0000 0.0000 0.5000 (multiplicity 1)
Ga: 0.3333 0.6667 0.2958 (multiplicity 2)
O: 0.1657 0.3313 0.2948 (multiplicity 6)

This record from Alexandria describes Na2Pd3Se2 after structural relaxation. The functional is PBE.

Calculated values
Its density of states at the Fermi level is 2.54 states/eV/f.u. As for the uncorrected formation energy: -443.0 meV/atom.

a = 10.2315 Å, b = 4.2663 Å, c = 6.9040 Å
α = 90.00°, β = 112.10°, γ = 90.00°
Space group C2/m (No. 12)
Symmetry-distinct sites (fractional):
Na: 0.1360 0.0000 0.2688 (multiplicity 4)
Pd: 0.0000 0.5000 0.5000 (multiplicity 2)
Pd: 0.1443 0.5000 0.9288 (multiplicity 4)
Se: 0.1447 0.0000 0.7224 (multiplicity 4)

This record from Alexandria describes Tb2ScGe3Ir4 after structural relaxation. The functional is PBE.

Calculated values
Its density of states at the Fermi level is 4.57 states/eV/f.u. The value obtained for the formation energy is -841 meV per atom.

a = 4.1138 Å, b = 4.1138 Å, c = 11.0478 Å
α = 90.00°, β = 90.00°, γ = 90.00°
Space group P-4m2 (No. 115)
Symmetry-distinct sites (fractional):
Tb: 0.0000 0.5000 0.2334 (multiplicity 2)
Sc: 0.0000 0.0000 0.5000 (multiplicity 1)
Ge: 0.0000 0.5000 0.8733 (multiplicity 2)
Ge: 0.5000 0.5000 0.5000 (multiplicity 1)
Ir: 0.0000 0.0000 0.0000 (multiplicity 1)
Ir: 0.0000 0.5000 0.6520 (multiplicity 2)
Ir: 0.5000 0.5000 0.0000 (multiplicity 1)

This record from Alexandria describes RbSrMn2 after structural relaxation. The functional is PBE.

Calculated values
The calculation puts the energy above the most stable polymorph in this dataset at 0.56 eV per formula unit. Its density of states at the Fermi level is 4.66 states/eV/f.u. The value obtained for the formation energy is 1173 meV per atom.

a = 9.0759 Å, b = 9.0759 Å, c = 6.5254 Å
α = 90.00°, β = 90.00°, γ = 90.00°
Space group I-42d (No. 122)
Symmetry-distinct sites (fractional):
Rb: 0.0000 0.0000 0.0000 (multiplicity 4)
Sr: 0.0000 0.0000 0.5000 (multiplicity 4)
Mn: 0.2444 0.2500 0.6250 (multiplicity 8)

This record from Alexandria describes AcPaAsSe after structural relaxation. The functional is PBE.

Calculated values
Its density of states at the Fermi level is 4.29 states/eV/f.u. As for the uncorrected formation energy: -1024.9 meV/atom.

a = 7.3999 Å, b = 7.3999 Å, c = 7.3999 Å
α = 90.00°, β = 90.00°, γ = 90.00°
Space group F-43m (No. 216)
Symmetry-distinct sites (fractional):
Ac: 0.0000 0.0000 0.0000 (multiplicity 4)
Pa: 0.0000 0.0000 0.5000 (multiplicity 4)
As: 0.2500 0.2500 0.2500 (multiplicity 4)
Se: 0.2500 0.2500 0.7500 (multiplicity 4)